[1]
UCuAu | PBE | relaxed

ΔH_f (0 K) in eV/atom: -0.071
Uncorrected energy in eV per cell: -18.87
SG: P-6m2
Distance to the lowest polymorph of the same formula in meV per atom: 0

Cell: 4.671 4.671 2.997 Å, 90.00 90.00 120.00°
Fractional positions:
U1 0.000 0.000 0.000
Cu1 0.667 0.333 0.500
Au1 0.333 0.667 0.500

[2]
MgGa3Pd2 | PBE | relaxed

ΔH_f (0 K) in eV/atom: -0.414
Uncorrected energy in eV per cell: -47.09
SG: P-3m1

Cell: 6.009 6.009 6.353 Å, 90.00 90.00 120.00°
Fractional positions:
Mg1 0.333 0.667 0.172
Mg2 0.667 0.333 0.828
Ga1 0.165 0.330 0.814
Ga2 0.165 0.835 0.814
Ga3 0.330 0.165 0.186
Ga4 0.670 0.835 0.814
Ga5 0.835 0.165 0.186
Ga6 0.835 0.670 0.186
Pd1 0.000 0.000 0.500
Pd2 0.000 0.500 0.500
Pd3 0.500 0.000 0.500
Pd4 0.500 0.500 0.500

[3]
SrCoOs2 | PBE | relaxed

ΔH_f (0 K) in eV/atom: 1.031
Uncorrected energy in eV per cell: -108.49
SG: F-43m
Distance to the lowest polymorph of the same formula in meV per atom: 764

Cell: 6.467 6.467 6.467 Å, 90.00 90.00 90.00°
Fractional positions:
Sr1 0.000 0.000 0.000
Sr2 0.000 0.500 0.500
Sr3 0.500 0.000 0.500
Sr4 0.500 0.500 0.000
Co1 0.250 0.250 0.250
Co2 0.250 0.750 0.750
Co3 0.750 0.250 0.750
Co4 0.750 0.750 0.250
Os1 0.000 0.000 0.500
Os2 0.000 0.500 0.000
Os3 0.250 0.250 0.750
Os4 0.250 0.750 0.250
Os5 0.500 0.000 0.000
Os6 0.500 0.500 0.500
Os7 0.750 0.250 0.250
Os8 0.750 0.750 0.750

Number 1: calculated volume 56.63 Å³/cell. Number 2: calculated volume 198.65 Å³/cell. Number 3: calculated volume 270.47 Å³/cell.